Entry 1:
Entry from the Alexandria database: a geometry-optimized Tb3Nd6Dy2In structure (PBE).

abc: 6.2113 10.7926 11.8357
angles: 90.00 100.24 90.00
Last column: nearest neighbours and their distance in Å.
Space group C2/m (No. 12)
One atom of each set of equivalent atoms:
Tb 0.0000 0.0000 0.0000 (multiplicity 2)  6 Tb 3.58-3.60, 6 Nd 3.59-3.61
Tb 0.0000 0.3321 0.0000 (multiplicity 4)  6 Tb 3.58-3.62, 6 Nd 3.58-3.62
Nd 0.2446 0.5000 0.2515 (multiplicity 4)  6 Nd 3.52-3.63, 1 In 3.54, 2 Dy 3.57, 3 Tb 3.58-3.61
Nd 0.2455 0.3364 0.7469 (multiplicity 8)  1 In 3.52, 6 Nd 3.52-3.63, 2 Dy 3.56, 3 Tb 3.59-3.62
Dy 0.0000 0.1662 0.5000 (multiplicity 4)  6 Nd 3.56-3.57, 3 In 3.59-3.60, 3 Dy 3.59
In 0.0000 0.5000 0.5000 (multiplicity 2)  6 Nd 3.52-3.54, 6 Dy 3.59-3.60

Output
**Volume**: 32.532 A^3/atom
**Total DFT energy (no corrections)**: -54.87 eV per formula unit



Entry 2:
Entry from the Alexandria database: a geometry-optimized NdDyIn2Te4 structure (PBE).

abc: 7.7425 4.4660 8.5064
angles: 90.00 107.62 90.00
Last column: nearest neighbours and their distance in Å.
Space group P2/m (No. 10)
One atom of each set of equivalent atoms:
Nd 0.0000 0.0000 0.0000 (multiplicity 1)  6 Te 3.18-3.19
Dy 0.5000 0.5000 0.0000 (multiplicity 1)  6 Te 3.12
In 0.0000 0.5000 0.5000 (multiplicity 1)  6 Te 3.45
In 0.5000 0.0000 0.5000 (multiplicity 1)  6 Te 3.39
Te 0.2489 0.5000 0.2253 (multiplicity 2)  1 Dy 3.12, 2 Nd 3.18, 3 In 3.39-3.45
Te 0.2669 0.0000 0.7791 (multiplicity 2)  2 Dy 3.12, 1 Nd 3.19, 3 In 3.39-3.45

Output
**Volume**: 35.042 A^3/atom
**Formation energy without anion corrections**: -22.58 kcal/mol of atoms



Entry 3:
Entry from the Alexandria database: a geometry-optimized NdDy2In3Te6 structure (PBE).

abc: 7.7085 13.3481 8.5094
angles: 90.00 107.58 90.00
Last column: nearest neighbours and their distance in Å.
Space group C2/m (No. 12)
One atom of each set of equivalent atoms:
Nd 0.0000 0.0000 0.0000 (multiplicity 2)  6 Te 3.18-3.19
Dy 0.0000 0.3330 0.0000 (multiplicity 4)  6 Te 3.11
In 0.0000 0.1643 0.5000 (multiplicity 4)  6 Te 3.39-3.44
In 0.0000 0.5000 0.5000 (multiplicity 2)  6 Te 3.38-3.44
Te 0.2321 0.5000 0.2199 (multiplicity 4)  2 Dy 3.11, 1 Nd 3.18, 3 In 3.38-3.43
Te 0.2447 0.1705 0.2223 (multiplicity 8)  2 Dy 3.11, 1 Nd 3.19, 3 In 3.39-3.44

Output
**Volume**: 34.778 A^3/atom
**Formation energy without anion corrections**: -22.51 kcal/mol of atoms